(1)
Crystalline ScAsP at its relaxed geometry, computed with PBE.

abc: 6.3297 6.3297 6.3297
angles: 90.00 90.00 90.00
Closest atoms and distances in Å follow each position.
Space group F-43m (No. 216)
Unique sites:
Sc (0.0000, 0.0000, 0.0000) (multiplicity 4)  4 As 2.74
As (0.2500, 0.2500, 0.2500) (multiplicity 4)  4 Sc 2.74, 4 P 2.74
P (0.0000, 0.0000, 0.5000) (multiplicity 4)  4 As 2.74

VASP energy in eV per atom: -5.62
Relative energy among the computed polymorphs in eV per atom: 0.542
DOS(E_F) in states/eV/f.u.: 3.2
Energy relative to the elements in eV per atom: -0.159

=====

(2)
Crystalline BaCu3O4 at its relaxed geometry, computed with PBE.

abc: 5.5522 11.1000 4.0349
angles: 90.00 90.00 90.00
Closest atoms and distances in Å follow each position.
Space group Cmmm (No. 65)
Unique sites:
Ba (0.0000, 0.0000, 0.0000) (multiplicity 2)  8 O 2.85
Cu (0.0000, 0.2478, 0.5000) (multiplicity 4)  4 O 1.93
Cu (0.0000, 0.5000, 0.5000) (multiplicity 2)  4 O 1.98
O (0.2452, 0.3708, 0.5000) (multiplicity 8)  3 Cu 1.93-1.98

VASP energy in eV per atom: -5.36
Relative energy among the computed polymorphs in eV per atom: 0.000
DOS(E_F) in states/eV/f.u.: 3.0

=====

(3)
Crystalline MnBe2Ge2 at its relaxed geometry, computed with PBE.

abc: 3.9615 3.9615 4.7159
angles: 90.00 90.00 120.00
Closest atoms and distances in Å follow each position.
Space group P-6m2 (No. 187)
Unique sites:
Mn (0.0000, 0.0000, 0.0000) (multiplicity 1)  5 Ge 2.29-2.36
Be (0.3333, 0.6667, 0.2500) (multiplicity 2)  2 Be 2.36, 6 Ge 2.57, 3 Mn 2.57
Ge (0.0000, 0.0000, 0.5000) (multiplicity 1)  2 Mn 2.36, 6 Be 2.57
Ge (0.6667, 0.3333, 0.0000) (multiplicity 1)  3 Mn 2.29

VASP energy in eV per atom: -5.12
Relative energy among the computed polymorphs in eV per atom: 0.000
DOS(E_F) in states/eV/f.u.: 2.0
Energy relative to the elements in eV per atom: 0.047

=====

(4)
Crystalline Bi at its relaxed geometry, computed with PBE.

abc: 8.9023 8.9023 8.9023
angles: 90.00 90.00 90.00
Closest atoms and distances in Å follow each position.
Space group Im-3m (No. 229)
Unique sites:
Bi (0.0000, 0.2500, 0.5000) (multiplicity 12)  4 Bi 3.15

VASP energy in eV per atom: -3.61
Relative energy among the computed polymorphs in eV per atom: 0.273
DOS(E_F) in states/eV/f.u.: 1.2
Energy relative to the elements in eV per atom: 0.273

=====

(5)
Crystalline YTi2Hg at its relaxed geometry, computed with PBE.

abc: 7.9407 7.9407 5.8839
angles: 90.00 90.00 90.00
Closest atoms and distances in Å follow each position.
Space group I-42d (No. 122)
Unique sites:
Y (0.0000, 0.0000, 0.0000) (multiplicity 4)  2 Hg 2.94, 4 Ti 3.08
Ti (0.2191, 0.7500, 0.6250) (multiplicity 8)  2 Hg 2.74, 2 Ti 2.98
Hg (0.0000, 0.0000, 0.5000) (multiplicity 4)  4 Ti 2.74, 2 Y 2.94

VASP energy in eV per atom: -5.25
DOS(E_F) in states/eV/f.u.: 5.5
Energy relative to the elements in eV per atom: 0.391

=====

(6)
Crystalline Ca2CdIr at its relaxed geometry, computed with PBE.

abc: 3.5486 3.5486 28.5955
angles: 90.00 90.00 120.00
Closest atoms and distances in Å follow each position.
Space group R-3m (No. 166, hexagonal axes)
Unique sites:
Ca (0.0000, 0.0000, 0.2356) (multiplicity 6)  3 Ir 2.84
Cd (0.0000, 0.0000, 0.0000) (multiplicity 3)  6 Ca 3.47, 6 Cd 3.55
Ir (0.0000, 0.0000, 0.5000) (multiplicity 3)  6 Ca 2.84

VASP energy in eV per atom: -3.44
DOS(E_F) in states/eV/f.u.: 3.3
Energy relative to the elements in eV per atom: 0.009

=====

VASP energy of number 4 (Bi)? -3.61 eV per atom

=====

The highest VASP energy belongs to which entry? Ca2CdIr

=====

VASP energy of number 1 (ScAsP)? -5.62 eV per atom